Entry 1:
A geometry-optimized PmYTeI structure. Source: Alexandria, functional GGA-PBE.

Computed properties:
Formation energy from raw total energies = -4.08 eV per formula unit

Structure (POSCAR):
```
PmYTeI
1.0
5.408 0.000 0.000
2.704 4.683 0.000
2.704 1.561 4.416
Y Te I Pm
1 1 1 1
Direct
0.750 0.750 0.750 Y
0.500 0.500 0.500 Te
0.000 0.000 0.000 I
0.250 0.250 0.250 Pm
```



Entry 2:
A geometry-optimized Na4Zn2Au3 structure. Source: Alexandria, functional GGA-PBE.

Computed properties:
E_form = -0.21 eV per atom

Structure (POSCAR):
```
Na4Zn2Au3
1.0
3.899 0.000 -1.075
-0.490 6.305 -1.779
0.181 0.493 8.263
Na Au Zn
4 3 2
Direct
0.574 0.882 0.149 Na
0.221 0.733 0.442 Na
0.426 0.118 0.851 Na
0.779 0.267 0.558 Na
0.136 0.220 0.272 Au
0.864 0.780 0.728 Au
0.000 0.500 0.000 Au
0.596 0.429 0.192 Zn
0.404 0.571 0.808 Zn
```



Entry 3:
A geometry-optimized FeAsPSe2 structure. Source: Alexandria, functional GGA-PBE.

Computed properties:
Formation energy from raw total energies = 3.34 eV per formula unit

Structure (POSCAR):
```
FeAsPSe2
1.0
-0.488 -4.494 -0.924
3.069 -1.011 3.294
-3.435 -0.268 3.118
P Fe Se As
1 1 2 1
Direct
0.500 0.500 0.500 P
0.000 0.000 0.000 Fe
0.000 0.500 0.000 Se
0.500 0.000 0.000 Se
0.000 0.000 0.500 As
```



The following E values (in eV/atom) correspond, in order, to the records above: -4.9972; -2.1715; -4.4311.
The following M_tot values (in μB/cell) correspond, in order, to the records above: 0.00; 0.00; 1.70.